1.
A geometry-optimized NaSrS2 structure. Source: Alexandria, functional PBE.

Unit cell a=7.158 b=7.158 c=7.158 alpha=90.00 beta=90.00 gamma=90.00
Element x y z (fractional)
Na1 0.000 0.000 0.000
Na2 0.000 0.500 0.500
Na3 0.500 0.000 0.500
Na4 0.500 0.500 0.000
Sr1 0.000 0.000 0.500
Sr2 0.000 0.500 0.000
Sr3 0.500 0.000 0.000
Sr4 0.500 0.500 0.500
S1 0.250 0.250 0.250
S2 0.250 0.250 0.750
S3 0.250 0.750 0.250
S4 0.250 0.750 0.750
S5 0.750 0.250 0.250
S6 0.750 0.250 0.750
S7 0.750 0.750 0.250
S8 0.750 0.750 0.750

Calculated values
Total moment = 0.58 μB per formula unit
Symmetry = No. 225

2.
A geometry-optimized NaSrS2 structure. Source: Alexandria, functional PBE.

Unit cell a=5.813 b=5.813 c=15.472 alpha=90.00 beta=90.00 gamma=90.00
Element x y z (fractional)
Na1 0.000 0.000 0.000
Na2 0.000 0.500 0.250
Na3 0.500 0.000 0.750
Na4 0.500 0.500 0.500
Sr1 0.000 0.000 0.500
Sr2 0.000 0.500 0.750
Sr3 0.500 0.000 0.250
Sr4 0.500 0.500 0.000
S1 0.229 0.250 0.125
S2 0.250 0.729 0.375
S3 0.250 0.771 0.875
S4 0.271 0.250 0.625
S5 0.729 0.750 0.625
S6 0.750 0.229 0.875
S7 0.750 0.271 0.375
S8 0.771 0.750 0.125

Calculated values
Total moment = 1.00 μB per formula unit
Symmetry = No. 122

3.
A geometry-optimized NaSr3S structure. Source: Alexandria, functional PBE.

Unit cell a=5.968 b=5.968 c=5.968 alpha=90.00 beta=90.00 gamma=90.00
Element x y z (fractional)
Na1 0.000 0.000 0.000
Sr1 0.000 0.500 0.500
Sr2 0.500 0.000 0.500
Sr3 0.500 0.500 0.000
S1 0.500 0.500 0.500

Calculated values
Total moment = 0.00 μB per formula unit
Symmetry = No. 221
Distance to the lowest polymorph of the same formula = 0.000 kcal/mol of atoms

4.
A geometry-optimized NaSrTaS4 structure. Source: Alexandria, functional PBE.

Unit cell a=6.865 b=6.963 c=8.231 alpha=90.00 beta=108.46 gamma=90.00
Element x y z (fractional)
Na1 0.211 0.250 0.044
Na2 0.789 0.750 0.956
Sr1 0.255 0.250 0.561
Sr2 0.745 0.750 0.439
Ta1 0.244 0.750 0.810
Ta2 0.756 0.250 0.190
S1 0.018 0.003 0.743
S2 0.018 0.497 0.743
S3 0.424 0.750 0.092
S4 0.442 0.750 0.633
S5 0.558 0.250 0.367
S6 0.576 0.250 0.908
S7 0.982 0.503 0.257
S8 0.982 0.997 0.257

Calculated values
Total moment = 0.00 μB per formula unit
Symmetry = No. 11

5.
A geometry-optimized NaSr2TbS4 structure. Source: Alexandria, functional PBE.

Unit cell a=7.129 b=4.154 c=7.182 alpha=90.00 beta=108.66 gamma=90.00
Element x y z (fractional)
Na1 0.000 0.000 0.000
Sr1 0.500 0.000 0.500
Sr2 0.500 0.500 0.000
Tb1 0.000 0.500 0.500
S1 0.230 0.000 0.735
S2 0.238 0.500 0.261
S3 0.762 0.500 0.739
S4 0.770 0.000 0.265

Calculated values
Total moment = 0.00 μB per formula unit
Symmetry = No. 10

6.
A geometry-optimized NaSr2TeS4 structure. Source: Alexandria, functional PBE.

Unit cell a=8.131 b=8.131 c=8.292 alpha=117.08 beta=117.08 gamma=89.83
Element x y z (fractional)
Na1 0.000 0.000 0.000
Na2 0.000 0.000 0.500
Sr1 0.000 0.500 0.000
Sr2 0.500 0.000 0.500
Sr3 0.500 0.500 0.000
Sr4 0.500 0.500 0.500
Te1 0.000 0.500 0.500
Te2 0.500 0.000 0.000
S1 0.213 0.722 0.472
S2 0.243 0.270 0.522
S3 0.270 0.243 0.022
S4 0.278 0.787 0.028
S5 0.722 0.213 0.972
S6 0.730 0.757 0.978
S7 0.757 0.730 0.478
S8 0.787 0.278 0.528

Calculated values
Total moment = 0.00 μB per formula unit
Symmetry = No. 15

7.
A geometry-optimized Na2SrThS4 structure. Source: Alexandria, functional PBE.

Unit cell a=7.086 b=4.216 c=7.299 alpha=90.00 beta=109.77 gamma=90.00
Element x y z (fractional)
Na1 0.000 0.000 0.000
Na2 0.000 0.500 0.500
Sr1 0.500 0.000 0.500
Th1 0.500 0.500 0.000
S1 0.266 0.500 0.235
S2 0.268 0.000 0.772
S3 0.732 0.000 0.228
S4 0.734 0.500 0.765

Calculated values
Total moment = 0.00 μB per formula unit
Symmetry = No. 10

8.
A geometry-optimized NaSr2TlS4 structure. Source: Alexandria, functional PBE.

Unit cell a=8.264 b=8.264 c=8.264 alpha=118.62 beta=118.45 gamma=92.56
Element x y z (fractional)
Na1 0.500 0.000 0.000
Na2 0.500 0.500 0.500
Sr1 0.000 0.000 0.000
Sr2 0.000 0.000 0.500
Sr3 0.000 0.500 0.000
Sr4 0.500 0.000 0.500
Tl1 0.000 0.500 0.500
Tl2 0.500 0.500 0.000
S1 0.230 0.729 0.501
S2 0.255 0.255 0.500
S3 0.255 0.755 0.000
S4 0.272 0.271 0.001
S5 0.728 0.729 0.999
S6 0.745 0.245 0.000
S7 0.745 0.745 0.500
S8 0.770 0.271 0.499

Calculated values
Total moment = 0.00 μB per formula unit
Symmetry = No. 74

9.
A geometry-optimized NaSr2TlS structure. Source: Alexandria, functional PBE.

Unit cell a=5.805 b=5.805 c=5.232 alpha=90.00 beta=90.00 gamma=90.00
Element x y z (fractional)
Na1 0.000 0.000 0.000
Sr1 0.000 0.500 0.500
Sr2 0.500 0.000 0.500
Tl1 0.500 0.500 0.000
S1 0.000 0.000 0.500

Calculated values
Total moment = 0.00 μB per formula unit
Symmetry = No. 123

10.
A geometry-optimized Na2SrUS6 structure. Source: Alexandria, functional PBE.

Unit cell a=7.485 b=7.758 c=11.057 alpha=90.00 beta=127.34 gamma=90.00
Element x y z (fractional)
Na1 0.246 0.065 0.249
Na2 0.246 0.435 0.749
Na3 0.754 0.565 0.251
Na4 0.754 0.935 0.751
Sr1 0.000 0.000 0.500
Sr2 0.000 0.500 0.000
U1 0.500 0.000 0.000
U2 0.500 0.500 0.500
S1 0.104 0.113 0.789
S2 0.104 0.387 0.289
S3 0.342 0.716 0.617
S4 0.342 0.784 0.117
S5 0.441 0.225 0.636
S6 0.441 0.275 0.136
S7 0.559 0.725 0.864
S8 0.559 0.775 0.364
S9 0.658 0.216 0.883
S10 0.658 0.284 0.383
S11 0.896 0.613 0.711
S12 0.896 0.887 0.211

Calculated values
Total moment = 2.00 μB per formula unit
Symmetry = No. 14

11.
A geometry-optimized NaSrUS4 structure. Source: Alexandria, functional PBE.

Unit cell a=5.199 b=5.199 c=14.777 alpha=90.00 beta=90.00 gamma=90.00
Element x y z (fractional)
Na1 0.000 0.000 0.000
Na2 0.500 0.500 0.500
Sr1 0.000 0.000 0.722
Sr2 0.500 0.500 0.222
U1 0.000 0.000 0.358
U2 0.500 0.500 0.858
S1 0.000 0.000 0.186
S2 0.000 0.000 0.527
S3 0.000 0.500 0.352
S4 0.000 0.500 0.852
S5 0.500 0.000 0.352
S6 0.500 0.000 0.852
S7 0.500 0.500 0.027
S8 0.500 0.500 0.686

Calculated values
Total moment = 1.00 μB per formula unit
Symmetry = No. 107

12.
A geometry-optimized Na2Sr2US6 structure. Source: Alexandria, functional PBE.

Unit cell a=7.189 b=7.189 c=7.041 alpha=99.58 beta=99.58 gamma=118.21
Element x y z (fractional)
Na1 0.163 0.837 0.000
Na2 0.837 0.163 0.000
Sr1 0.336 0.664 0.500
Sr2 0.664 0.336 0.500
U1 0.000 0.000 0.500
S1 0.065 0.363 0.722
S2 0.216 0.216 0.278
S3 0.363 0.065 0.722
S4 0.637 0.935 0.278
S5 0.784 0.784 0.722
S6 0.935 0.637 0.278

Calculated values
Total moment = 0.00 μB per formula unit
Symmetry = No. 12

13.
A geometry-optimized NaSr2US4 structure. Source: Alexandria, functional PBE.

Unit cell a=7.163 b=4.137 c=7.194 alpha=90.00 beta=108.90 gamma=90.00
Element x y z (fractional)
Na1 0.000 0.000 0.000
Sr1 0.500 0.000 0.500
Sr2 0.500 0.500 0.000
U1 0.000 0.500 0.500
S1 0.231 0.000 0.735
S2 0.236 0.500 0.261
S3 0.764 0.500 0.739
S4 0.769 0.000 0.265

Calculated values
Total moment = 2.98 μB per formula unit
Symmetry = No. 10

14.
A geometry-optimized Na3Sr2US6 structure. Source: Alexandria, functional PBE.

Unit cell a=7.247 b=7.247 c=7.072 alpha=99.92 beta=99.92 gamma=120.06
Element x y z (fractional)
Na1 0.000 0.000 0.000
Na2 0.337 0.663 0.000
Na3 0.663 0.337 0.000
Sr1 0.167 0.833 0.500
Sr2 0.833 0.167 0.500
U1 0.500 0.500 0.500
S1 0.122 0.422 0.266
S2 0.276 0.276 0.725
S3 0.422 0.122 0.266
S4 0.578 0.878 0.734
S5 0.724 0.724 0.275
S6 0.878 0.578 0.734

Calculated values
Total moment = 1.00 μB per formula unit
Symmetry = No. 12

15.
A geometry-optimized Na2SrVS4 structure. Source: Alexandria, functional PBE.

Unit cell a=8.981 b=7.982 c=6.110 alpha=90.00 beta=90.00 gamma=90.00
Element x y z (fractional)
Na1 0.232 0.159 0.000
Na2 0.268 0.841 0.500
Na3 0.732 0.841 0.500
Na4 0.768 0.159 0.000
Sr1 0.000 0.361 0.499
Sr2 0.500 0.639 0.999
V1 0.000 0.686 0.067
V2 0.500 0.314 0.567
S1 0.000 0.406 0.995
S2 0.000 0.709 0.426
S3 0.211 0.813 0.966
S4 0.289 0.187 0.466
S5 0.500 0.291 0.926
S6 0.500 0.594 0.495
S7 0.711 0.187 0.466
S8 0.789 0.813 0.966

Calculated values
Total moment = 1.00 μB per formula unit
Symmetry = No. 31

16.
A geometry-optimized NaSrVS4 structure. Source: Alexandria, functional PBE.

Unit cell a=6.614 b=6.686 c=8.199 alpha=90.00 beta=108.74 gamma=90.00
Element x y z (fractional)
Na1 0.216 0.250 0.047
Na2 0.784 0.750 0.953
Sr1 0.271 0.250 0.570
Sr2 0.729 0.750 0.430
V1 0.225 0.750 0.803
V2 0.775 0.250 0.197
S1 0.009 0.002 0.740
S2 0.009 0.498 0.740
S3 0.399 0.750 0.070
S4 0.424 0.750 0.636
S5 0.576 0.250 0.364
S6 0.601 0.250 0.930
S7 0.991 0.502 0.260
S8 0.991 0.998 0.260

Calculated values
Total moment = 0.00 μB per formula unit
Symmetry = No. 11

17.
A geometry-optimized NaSr2WS structure. Source: Alexandria, functional PBE.

Unit cell a=6.148 b=6.148 c=4.623 alpha=90.00 beta=90.00 gamma=90.00
Element x y z (fractional)
Na1 0.000 0.000 0.000
Sr1 0.000 0.500 0.000
Sr2 0.500 0.000 0.000
W1 0.500 0.500 0.500
S1 0.000 0.000 0.500

Calculated values
Total moment = 4.43 μB per formula unit
Symmetry = No. 123

18.
A geometry-optimized NaSr4Y3S8 structure. Source: Alexandria, functional PBE.

Unit cell a=8.228 b=8.228 c=8.228 alpha=59.60 beta=59.60 gamma=59.60
Element x y z (fractional)
Na1 0.000 0.000 0.000
Sr1 0.000 0.000 0.500
Sr2 0.000 0.500 0.000
Sr3 0.500 0.000 0.000
Sr4 0.500 0.500 0.500
Y1 0.000 0.500 0.500
Y2 0.500 0.000 0.500
Y3 0.500 0.500 0.000
S1 0.247 0.247 0.735
S2 0.247 0.735 0.247
S3 0.257 0.257 0.257
S4 0.265 0.753 0.753
S5 0.735 0.247 0.247
S6 0.743 0.743 0.743
S7 0.753 0.265 0.753
S8 0.753 0.753 0.265

Calculated values
Total moment = 0.00 μB per formula unit
Symmetry = No. 166

19.
A geometry-optimized NaSrZnS2 structure. Source: Alexandria, functional PBE.

Unit cell a=7.163 b=4.700 c=7.685 alpha=90.00 beta=100.76 gamma=90.00
Element x y z (fractional)
Na1 0.000 0.013 0.250
Na2 0.000 0.987 0.750
Sr1 0.500 0.293 0.750
Sr2 0.500 0.707 0.250
Zn1 0.000 0.500 0.000
Zn2 0.000 0.500 0.500
S1 0.277 0.209 0.043
S2 0.277 0.791 0.543
S3 0.723 0.209 0.457
S4 0.723 0.791 0.957

Calculated values
Total moment = 0.00 μB per formula unit
Symmetry = No. 13

20.
A geometry-optimized Na2SrZn2S4 structure. Source: Alexandria, functional PBE.

Unit cell a=7.092 b=7.092 c=10.371 alpha=128.37 beta=128.37 gamma=33.06
Element x y z (fractional)
Na1 0.167 0.167 0.288
Na2 0.833 0.833 0.712
Sr1 0.000 0.000 0.500
Zn1 0.351 0.351 0.143
Zn2 0.649 0.649 0.857
S1 0.256 0.256 0.854
S2 0.430 0.430 0.635
S3 0.570 0.570 0.365
S4 0.744 0.744 0.146

Calculated values
Total moment = 0.00 μB per formula unit
Symmetry = No. 12

21.
A geometry-optimized NaTa4S8 structure. Source: Alexandria, functional PBE.

Unit cell a=6.754 b=6.754 c=9.394 alpha=122.22 beta=122.22 gamma=60.01
Element x y z (fractional)
Na1 0.000 0.000 0.000
Ta1 0.253 0.253 0.502
Ta2 0.254 0.746 0.500
Ta3 0.746 0.254 0.500
Ta4 0.747 0.747 0.498
S1 0.019 0.019 0.706
S2 0.020 0.519 0.709
S3 0.479 0.479 0.289
S4 0.481 0.980 0.291
S5 0.519 0.020 0.709
S6 0.521 0.521 0.711
S7 0.980 0.481 0.291
S8 0.981 0.981 0.294

Calculated values
Total moment = 0.00 μB per formula unit
Symmetry = No. 12
Distance to the lowest polymorph of the same formula = 0.000 kcal/mol of atoms

22.
A geometry-optimized Na2TaS4 structure. Source: Alexandria, functional PBE.

Unit cell a=12.475 b=3.573 c=7.550 alpha=90.00 beta=116.38 gamma=90.00
Element x y z (fractional)
Na1 0.150 0.000 0.179
Na2 0.350 0.500 0.821
Na3 0.650 0.500 0.179
Na4 0.850 0.000 0.821
Ta1 0.000 0.500 0.500
Ta2 0.500 0.000 0.500
S1 0.054 0.500 0.848
S2 0.151 0.000 0.569
S3 0.349 0.500 0.431
S4 0.446 0.000 0.152
S5 0.554 0.000 0.848
S6 0.651 0.500 0.569
S7 0.849 0.000 0.431
S8 0.946 0.500 0.152

Calculated values
Total moment = 0.00 μB per formula unit
Symmetry = No. 12
Distance to the lowest polymorph of the same formula = 0.000 kcal/mol of atoms

Number 1: formation energy without anion corrections -4.8 eV per formula unit. Number 2: formation energy without anion corrections -4.0 eV per formula unit. Number 3: formation energy without anion corrections -3.7 eV per formula unit. Number 4: formation energy without anion corrections -9.5 eV per formula unit. Number 5: formation energy without anion corrections -15.6 eV per formula unit. Number 6: formation energy without anion corrections -9.6 eV per formula unit. Number 7: formation energy without anion corrections -14.1 eV per formula unit. Number 8: formation energy without anion corrections -10.1 eV per formula unit. Number 9: formation energy without anion corrections -4.0 eV per formula unit. Number 10: formation energy without anion corrections -11.0 eV per formula unit. Number 11: formation energy without anion corrections -10.0 eV per formula unit. Number 12: formation energy without anion corrections -17.0 eV per formula unit. Number 13: formation energy without anion corrections -13.4 eV per formula unit. Number 14: formation energy without anion corrections -19.2 eV per formula unit. Number 15: formation energy without anion corrections -9.7 eV per formula unit. Number 16: formation energy without anion corrections -8.8 eV per formula unit. Number 17: formation energy without anion corrections 5.0 eV per formula unit. Number 18: formation energy without anion corrections -32.1 eV per formula unit. Number 19: formation energy without anion corrections -4.9 eV per formula unit. Number 20: formation energy without anion corrections -10.6 eV per formula unit. Number 21: formation energy without anion corrections -14.0 eV per formula unit. Number 22: formation energy without anion corrections -5.9 eV per formula unit.